No. 1
! Tc3Ru SCAN PBEsol geometry; values from VASP
! Energy = -35.0514 eV/atom
! Calculated formation energy = -19.2 kJ/mol of formula units
! Energy relative to the lowest polymorph listed for this composition = 0.7 kJ per mole of atoms
&SYSTEM
  ibrav = 0, nat = 4, ntyp = 2
/
ATOMIC_SPECIES
Tc 98.00 Tc.upf
Ru 101.07 Ru.upf
CELL_PARAMETERS angstrom
2.7111 0.0000 0.0000
0.0000 4.3173 0.0000
0.0000 0.0000 4.6984
ATOMIC_POSITIONS angstrom
Tc 0.0000 0.0000 0.0000
Tc 0.0000 2.1587 1.5611
Tc 1.3556 2.1587 3.9089
Ru 1.3556 0.0000 2.3304

***

No. 2
! TiNiSb SCAN PBEsol geometry; values from VASP
! Formation energy from raw total energies = -1.82 eV/f.u.
! Energy = -23.7598 eV/atom
&SYSTEM
  ibrav = 0, nat = 3, ntyp = 3
/
ATOMIC_SPECIES
Ti 47.87 Ti.upf
Ni 58.69 Ni.upf
Sb 121.76 Sb.upf
CELL_PARAMETERS angstrom
0.0000 2.9355 2.9355
2.9355 0.0000 2.9355
2.9355 2.9355 0.0000
ATOMIC_POSITIONS angstrom
Ti 0.0000 0.0000 0.0000
Ni 4.4032 4.4032 4.4032
Sb 2.9355 2.9355 2.9355

***

No. 3
! Mn3Nb6O11 SCAN PBEsol geometry; values from VASP
! Formation energy from raw total energies = -46.41 eV/f.u.
! Energy = -18.4248 eV/atom
&SYSTEM
  ibrav = 0, nat = 20, ntyp = 3
/
ATOMIC_SPECIES
Mn 54.94 Mn.upf
Nb 92.91 Nb.upf
O 16.00 O.upf
CELL_PARAMETERS angstrom
6.0744 0.0000 0.0000
-3.0372 5.2606 0.0000
0.0000 0.0000 7.5848
ATOMIC_POSITIONS angstrom
Mn 0.0000 0.0000 0.0000
Mn 0.0000 3.5071 7.0695
Mn 3.0372 1.7535 0.5153
Nb 0.0000 1.6300 2.6499
Nb -1.6256 4.4456 2.6499
Nb 1.4116 0.8150 4.9349
Nb 1.6256 4.4456 2.6499
Nb 4.6628 0.8150 4.9349
Nb 3.0372 3.6306 4.9349
O -1.5186 2.6303 3.7924
O 0.0000 1.6675 6.2183
O -1.5931 4.4269 6.2183
O 1.4441 0.8338 1.3666
O 0.0000 3.5071 1.4593
O 3.0372 0.0000 3.7924
O 1.5186 2.6303 3.7924
O 3.0372 1.7535 6.1255
O 1.5931 4.4269 6.2183
O 4.6303 0.8338 1.3666
O 3.0372 3.5931 1.3666

***

No. 4
! Al7Ag SCAN PBEsol geometry; values from VASP
! Energy = -10.6978 eV/atom
! Calculated formation energy = 4.6 kJ/mol of formula units
! Energy relative to the lowest polymorph listed for this composition = 3.4 kJ per mole of atoms
&SYSTEM
  ibrav = 0, nat = 8, ntyp = 2
/
ATOMIC_SPECIES
Al 26.98 Al.upf
Ag 107.87 Ag.upf
CELL_PARAMETERS angstrom
2.8193 0.0000 0.0000
0.0000 3.9883 0.0000
0.0000 0.0000 11.5748
ATOMIC_POSITIONS angstrom
Al 0.0000 0.0000 0.0000
Al 0.0000 0.0000 2.8829
Al 0.0000 0.0000 8.6919
Al 1.4097 1.9942 1.4565
Al 1.4097 1.9942 4.3346
Al 1.4097 1.9942 7.2402
Al 1.4097 1.9942 10.1183
Ag 0.0000 0.0000 5.7874

***

No. 5
! BeGa3Mo SCAN PBEsol geometry; values from VASP
! Energy = -16.8724 eV/atom
! Calculated formation energy = 377.8 kJ/mol of formula units
&SYSTEM
  ibrav = 0, nat = 5, ntyp = 3
/
ATOMIC_SPECIES
Be 9.01 Be.upf
Ga 69.72 Ga.upf
Mo 95.94 Mo.upf
CELL_PARAMETERS angstrom
4.2702 0.0000 0.0000
0.0000 4.2702 0.0000
0.0000 0.0000 4.2702
ATOMIC_POSITIONS angstrom
Be 0.0000 0.0000 0.0000
Ga 0.0000 0.0000 2.1351
Ga 0.0000 2.1351 0.0000
Ga 2.1351 0.0000 0.0000
Mo 2.1351 2.1351 2.1351

***

No. 6
! Ta2CrAgSn SCAN PBEsol geometry; values from VASP
! Energy = -42.2247 eV/atom
! Calculated formation energy = 744.5 kJ/mol of formula units
&SYSTEM
  ibrav = 0, nat = 5, ntyp = 4
/
ATOMIC_SPECIES
Ta 180.95 Ta.upf
Cr 52.00 Cr.upf
Ag 107.87 Ag.upf
Sn 118.71 Sn.upf
CELL_PARAMETERS angstrom
4.8541 0.0000 0.0000
0.0000 4.8541 0.0000
0.0000 0.0000 4.6931
ATOMIC_POSITIONS angstrom
Ta 0.0000 2.4270 0.0000
Ta 2.4270 0.0000 0.0000
Cr 0.0000 0.0000 2.3466
Ag 0.0000 0.0000 0.0000
Sn 2.4270 2.4270 2.3466

***

No. 7
! Be2RuPt SCAN PBEsol geometry; values from VASP
! Energy = -29.0035 eV/atom
! Calculated formation energy = -220.7 kJ/mol of formula units
! Energy relative to the lowest polymorph listed for this composition = 11.6 kJ per mole of atoms
&SYSTEM
  ibrav = 0, nat = 4, ntyp = 3
/
ATOMIC_SPECIES
Be 9.01 Be.upf
Ru 101.07 Ru.upf
Pt 195.08 Pt.upf
CELL_PARAMETERS angstrom
2.7790 0.0000 0.0000
0.0000 3.6993 0.0000
-1.3790 0.0000 4.2064
ATOMIC_POSITIONS angstrom
Be 0.0000 0.0000 0.0000
Be -0.0020 1.8497 1.3548
Ru 0.0119 1.8497 3.7010
Pt 1.3873 0.0000 1.8998

***

No. 8
! IrWBr2 SCAN PBEsol geometry; values from VASP
! Formation energy from raw total energies = 0.48 eV/f.u.
! Energy = -44.8059 eV/atom
! Energy relative to the lowest polymorph listed for this composition = 0.0 kJ per mole of atoms
&SYSTEM
  ibrav = 0, nat = 4, ntyp = 3
/
ATOMIC_SPECIES
Ir 192.22 Ir.upf
W 183.84 W.upf
Br 79.90 Br.upf
CELL_PARAMETERS angstrom
3.0513 0.0000 0.0000
0.0000 3.2061 0.0000
-0.0167 0.0000 8.4623
ATOMIC_POSITIONS angstrom
Ir 0.0000 0.0000 0.0000
W 1.5089 1.6031 7.0917
Br 0.0010 1.6031 2.0943
Br 1.5102 0.0000 5.1214

***

No. 9
! Mo2SeCl SCAN PBEsol geometry; values from VASP
! Formation energy from raw total energies = 1.51 eV/f.u.
! Energy = -24.0801 eV/atom
! Energy relative to the lowest polymorph listed for this composition = 34.4 kJ per mole of atoms
&SYSTEM
  ibrav = 0, nat = 4, ntyp = 3
/
ATOMIC_SPECIES
Mo 95.94 Mo.upf
Se 78.96 Se.upf
Cl 35.45 Cl.upf
CELL_PARAMETERS angstrom
4.0098 -1.4949 0.0000
4.0098 1.4949 0.0000
-1.1190 0.0000 5.0742
ATOMIC_POSITIONS angstrom
Mo 1.7084 0.0000 1.2572
Mo 5.1923 0.0000 3.8170
Se 4.0098 0.0000 0.0000
Cl -0.5595 0.0000 2.5371

***

No. 10
! CoRh2 SCAN PBEsol geometry; values from VASP
! Energy = -28.2156 eV/atom
! Calculated formation energy = 19.3 kJ/mol of formula units
&SYSTEM
  ibrav = 0, nat = 6, ntyp = 2
/
ATOMIC_SPECIES
Co 58.93 Co.upf
Rh 102.91 Rh.upf
CELL_PARAMETERS angstrom
1.8311 -5.5386 0.0000
1.8311 5.5386 0.0000
0.0000 0.0000 3.6922
ATOMIC_POSITIONS angstrom
Co 1.8311 4.6570 2.7691
Co 1.8311 -4.6570 0.9230
Rh 1.8311 2.7750 0.9230
Rh 1.8311 0.8981 2.7691
Rh 1.8311 -0.8981 0.9230
Rh 1.8311 -2.7750 2.7691

***

No. 11
! V2CdO4 SCAN PBEsol geometry; values from VASP
! Formation energy from raw total energies = -15.64 eV/f.u.
! Energy = -15.1361 eV/atom
&SYSTEM
  ibrav = 0, nat = 14, ntyp = 3
/
ATOMIC_SPECIES
V 50.94 V.upf
Cd 112.41 Cd.upf
O 16.00 O.upf
CELL_PARAMETERS angstrom
0.0000 4.3212 4.3212
4.3212 0.0000 4.3212
4.3212 4.3212 0.0000
ATOMIC_POSITIONS angstrom
V 0.0000 0.0000 0.0000
V 2.1606 2.1606 0.0000
V 2.1606 0.0000 2.1606
V 0.0000 2.1606 2.1606
Cd 3.2409 3.2409 3.2409
Cd 5.4016 5.4016 5.4016
O 6.6356 4.1675 4.1675
O 2.0069 2.0069 2.0069
O 4.4749 4.4749 2.0069
O 4.4749 2.0069 4.4749
O 4.1675 6.6356 4.1675
O 4.1675 4.1675 6.6356
O 6.6356 6.6356 6.6356
O 2.0069 4.4749 4.4749

***

No. 12
! PmDyMg2 SCAN PBEsol geometry; values from VASP
! Energy = -25.5287 eV/atom
! Calculated formation energy = -37.2 kJ/mol of formula units
&SYSTEM
  ibrav = 0, nat = 4, ntyp = 3
/
ATOMIC_SPECIES
Pm 145.00 Pm.upf
Dy 162.50 Dy.upf
Mg 24.30 Mg.upf
CELL_PARAMETERS angstrom
0.0000 3.7718 3.7718
3.7718 0.0000 3.7718
3.7718 3.7718 0.0000
ATOMIC_POSITIONS angstrom
Pm 0.0000 0.0000 0.0000
Dy 3.7718 3.7718 3.7718
Mg 1.8859 1.8859 1.8859
Mg 5.6577 5.6577 5.6577